(1)
DFT (PBE-GGA) results for crystalline YbNdPd2 at its relaxed geometry.

Structure (extended XYZ):
```
16
Lattice="7.0953 0.0000 0.0000 0.0000 7.0953 0.0000 0.0000 0.0000 7.0953" Properties=species:S:1:pos:R:3 pbc="T T T"
Yb 0.0000 0.0000 0.0000
Yb 0.0000 3.5477 3.5477
Yb 3.5477 0.0000 3.5477
Yb 3.5477 3.5477 0.0000
Nd 0.0000 0.0000 3.5477
Nd 0.0000 3.5477 0.0000
Nd 3.5477 0.0000 0.0000
Nd 3.5477 3.5477 3.5477
Pd 1.7738 1.7738 1.7738
Pd 1.7738 1.7738 5.3215
Pd 1.7738 5.3215 1.7738
Pd 1.7738 5.3215 5.3215
Pd 5.3215 1.7738 1.7738
Pd 5.3215 1.7738 5.3215
Pd 5.3215 5.3215 1.7738
Pd 5.3215 5.3215 5.3215
```

Values from the calculation:
DFT formation energy in meV/atom: -826
M_tot in μB per formula unit: 0.0
Total DFT energy (no corrections) in eV/atom: -5.00
SG: Fm-3m, No. 225
Calculated density in g/cm³: 9.9

(2)
DFT (PBE-GGA) results for crystalline Pr3Ru at its relaxed geometry.

Structure (extended XYZ):
```
4
Lattice="3.4871 0.0000 0.0000 0.0000 3.7609 0.0000 0.0000 0.0000 9.6848" Properties=species:S:1:pos:R:3 pbc="T T T"
Pr 0.0000 0.0000 0.0000
Pr 0.0000 1.8804 3.2945
Pr 1.7436 1.8804 6.7988
Ru 1.7436 0.0000 4.7902
```

Values from the calculation:
DFT formation energy in meV/atom: 155
M_tot in μB per formula unit: 0.0
Total DFT energy (no corrections) in eV/atom: -5.75
SG: Pmm2, No. 25
Calculated density in g/cm³: 6.8

(3)
DFT (PBE-GGA) results for crystalline HoPuCoAg at its relaxed geometry.

Structure (extended XYZ):
```
16
Lattice="7.0005 0.0000 0.0000 0.0000 7.0005 0.0000 0.0000 0.0000 7.0005" Properties=species:S:1:pos:R:3 pbc="T T T"
Ho 0.0000 0.0000 0.0000
Ho 0.0000 3.5002 3.5002
Ho 3.5002 0.0000 3.5002
Ho 3.5002 3.5002 0.0000
Pu 0.0000 0.0000 3.5002
Pu 0.0000 3.5002 0.0000
Pu 3.5002 0.0000 0.0000
Pu 3.5002 3.5002 3.5002
Co 1.7501 1.7501 1.7501
Co 1.7501 5.2504 5.2504
Co 5.2504 1.7501 5.2504
Co 5.2504 5.2504 1.7501
Ag 1.7501 1.7501 5.2504
Ag 1.7501 5.2504 1.7501
Ag 5.2504 1.7501 1.7501
Ag 5.2504 5.2504 5.2504
```

Values from the calculation:
DFT formation energy in meV/atom: 34
M_tot in μB per formula unit: 5.0
Total DFT energy (no corrections) in eV/atom: -7.18
SG: F-43m, No. 216
Calculated density in g/cm³: 11.1

(4)
DFT (PBE-GGA) results for crystalline Tm6CdRu at its relaxed geometry.

Structure (extended XYZ):
```
8
Lattice="6.7492 0.0000 0.0000 -3.3731 5.8511 0.0000 -3.3682 -1.9497 6.2525" Properties=species:S:1:pos:R:3 pbc="T T T"
Tm -0.8553 -0.0265 1.6048
Tm -1.2790 3.6819 1.6036
Tm -2.1373 1.7029 4.6485
Tm 2.1452 2.1985 1.6040
Tm 1.2869 0.2195 4.6489
Tm 0.8632 3.9279 4.6477
Cd 3.3746 0.0000 0.0000
Ru 0.0039 1.9507 3.1263
```

Values from the calculation:
DFT formation energy in meV/atom: 14
M_tot in μB per formula unit: 0.0
Total DFT energy (no corrections) in eV/atom: -4.61
SG: P-1, No. 2
Calculated density in g/cm³: 8.3

> Which of these has the lowest calculated density?

Pr3Ru

> The highest M_tot belongs to which entry?

HoPuCoAg

> M_tot of number 1 (YbNdPd2)?

0.0 μB per formula unit

> Which value of DFT formation energy does entry 3 give?

34 meV/atom